A geometry-optimized Fe2SF structure. Source: Alexandria, functional PBE with a Hubbard U.

abc: 4.2004 4.2004 4.2004
angles: 60.00 60.00 60.00
Sites, in units of the cell vectors:
S: 0.5000 0.5000 0.5000
Fe: 0.2500 0.2500 0.2500
Fe: 0.7500 0.7500 0.7500
F: 0.0000 0.0000 0.0000

Output
**Raw total energy**: -19.63 eV for the cell shown